Compound: BaBiSbPt2
Source: OQMD via LeMat-Bulk
Functional: PBE
Structure: optimized geometry

Structure (POSCAR):
```
BaBiSbPt2
1.0
4.938 0.000 0.000
0.000 4.821 0.000
-0.334 0.000 10.874
Pt Bi Sb Ba
4 2 2 2
Cartesian
0.615 3.616 10.862
3.989 1.205 0.012
1.044 1.205 6.960
3.560 3.616 3.914
3.534 1.205 5.455
1.071 3.616 5.419
3.459 3.616 1.239
1.146 1.205 9.635
1.125 1.205 2.595
3.479 3.616 8.279
```

Values from the calculation:
Magnetization: 0.00 μB per formula unit
Total energy: -0.1899 hartree per atom

---

Compound: BaBiSbPt
Source: OQMD via LeMat-Bulk
Functional: PBE
Structure: optimized geometry

Structure (POSCAR):
```
BaBiSbPt
1.0
2.485 -9.471 0.000
2.485 9.471 0.000
0.000 0.000 5.090
Pt Bi Ba Sb
2 2 2 2
Cartesian
2.485 6.068 1.272
2.485 -6.068 3.817
2.485 4.758 3.817
2.485 -4.758 1.272
2.485 1.949 1.272
2.485 -1.949 3.817
2.485 8.704 1.272
2.485 -8.704 3.817
```

Values from the calculation:
Magnetization: 0.00 μB per formula unit
Total energy: -0.1750 hartree per atom

---

Compound: BaBiSbPt2
Source: OQMD via LeMat-Bulk
Functional: PBE
Structure: optimized geometry

Structure (POSCAR):
```
BaBiSbPt2
1.0
5.015 0.000 0.000
0.000 4.862 0.000
-0.433 0.000 10.710
Sb Pt Bi Ba
2 4 2 2
Cartesian
3.755 1.215 0.027
0.827 3.646 10.684
0.678 3.646 5.338
3.345 3.646 9.545
3.904 1.215 5.372
1.237 1.215 1.166
1.360 1.215 4.052
3.222 3.646 6.658
0.865 1.215 8.022
3.717 3.646 2.689
```

Values from the calculation:
Magnetization: 0.00 μB per formula unit
Total energy: -0.1891 hartree per atom

---

Compound: BaBiSbPt
Source: OQMD via LeMat-Bulk
Functional: PBE
Structure: optimized geometry

Structure (POSCAR):
```
BaBiSbPt
1.0
2.476 -9.513 0.000
2.476 9.513 0.000
0.000 0.000 5.099
Ba Sb Bi Pt
2 2 2 2
Cartesian
2.476 -7.427 3.824
2.476 7.427 1.275
2.476 -4.702 1.275
2.476 4.702 3.824
2.476 -0.884 3.824
2.476 0.884 1.275
2.476 3.692 1.275
2.476 -3.692 3.824
```

Values from the calculation:
Magnetization: 0.00 μB per formula unit
Total energy: -0.1762 hartree per atom

---

Compound: Ba2ZrBiS5
Source: OQMD via LeMat-Bulk
Functional: PBE
Structure: optimized geometry

Structure (POSCAR):
```
Ba2ZrBiS5
1.0
2.251 -8.624 0.000
2.251 8.624 0.000
0.000 0.000 12.941
S Ba Bi Zr
10 4 2 2
Cartesian
2.251 -0.453 3.000
2.251 -7.798 12.585
2.251 2.793 1.678
2.251 -3.819 4.476
2.251 -2.793 8.148
2.251 3.819 10.947
2.251 -2.034 12.790
2.251 0.453 9.470
2.251 7.798 6.115
2.251 2.034 6.320
2.251 6.924 10.452
2.251 -5.963 8.771
2.251 5.963 2.301
2.251 -6.924 3.981
2.251 -4.938 12.486
2.251 4.938 6.016
2.251 0.466 0.745
2.251 -0.466 7.216
```

Values from the calculation:
Magnetization: 0.01 μB per formula unit
Total energy: -0.2039 hartree per atom

---

Compound: BaTaBi
Source: OQMD via LeMat-Bulk
Functional: PBE
Structure: optimized geometry

Structure (POSCAR):
```
BaTaBi
1.0
0.000 3.729 3.729
3.729 0.000 3.729
3.729 3.729 0.000
Bi Ta Ba
1 1 1
Cartesian
5.593 5.593 5.593
0.000 0.000 0.000
1.864 1.864 1.864
```

Values from the calculation:
Magnetization: 3.56 μB per formula unit
Total energy: -0.1862 hartree per atom

---

Compound: Ba2TcBi
Source: OQMD via LeMat-Bulk
Functional: PBE
Structure: optimized geometry

Structure (POSCAR):
```
Ba2TcBi
1.0
-3.229 3.163 3.185
-1.844 4.857 -1.893
-5.350 0.629 -1.249
Ba Bi Tc
2 1 1
Cartesian
-2.606 2.162 0.011
-5.212 4.325 0.022
-7.817 6.487 0.033
0.000 0.000 0.000
```

Values from the calculation:
Magnetization: 2.02 μB per formula unit
Total energy: -0.1525 hartree per atom

---

Compound: BaBiW
Source: OQMD via LeMat-Bulk
Functional: PBE
Structure: optimized geometry

Structure (POSCAR):
```
BaBiW
1.0
1.206 -5.093 0.760
-2.192 -2.667 4.007
-3.605 -3.745 -0.974
Bi Ba W
1 1 1
Cartesian
-3.443 -8.629 2.846
-1.148 -2.876 0.949
0.000 0.000 0.000
```

Values from the calculation:
Magnetization: 4.56 μB per formula unit
Total energy: -0.1915 hartree per atom

---

Compound: BaBiW
Source: OQMD via LeMat-Bulk
Functional: PBE
Structure: optimized geometry

Structure (POSCAR):
```
BaBiW
1.0
-0.235 0.716 4.467
0.615 -4.426 0.742
8.379 1.205 0.248
Ba W Bi
2 2 2
Cartesian
0.190 -1.855 2.604
0.000 0.000 0.000
3.144 -1.805 0.455
5.425 1.155 2.397
2.664 0.758 2.316
5.904 -1.408 0.536
```

Values from the calculation:
Magnetization: 2.42 μB per formula unit
Total energy: -0.1869 hartree per atom

---

Compound: BaZnBi2
Source: OQMD via LeMat-Bulk
Functional: PBE
Structure: optimized geometry

Structure (POSCAR):
```
BaZnBi2
1.0
7.113 7.479 6.952
2.701 4.860 11.133
-2.845 -8.687 -8.444
Zn Bi Ba
2 4 2
Cartesian
4.588 2.481 3.775
2.382 1.171 5.866
-0.071 -1.914 1.345
3.147 3.957 5.799
2.134 -0.604 -0.746
6.667 8.383 12.286
8.635 10.857 15.912
1.179 1.482 2.173
```

Values from the calculation:
Total energy: -0.1217 hartree per atom

---

Compound: BaZnBi2
Source: OQMD via LeMat-Bulk
Functional: PBE
Structure: optimized geometry

Structure (POSCAR):
```
BaZnBi2
1.0
0.000 4.031 4.031
4.031 0.000 4.031
4.031 4.031 0.000
Bi Zn Ba
2 1 1
Cartesian
2.016 2.016 2.016
0.000 0.000 0.000
4.031 4.031 4.031
6.047 6.047 6.047
```

Values from the calculation:
Total energy: -0.1121 hartree per atom

---

Compound: Ba2ZnBi
Source: OQMD via LeMat-Bulk
Functional: PBE
Structure: optimized geometry

Structure (POSCAR):
```
Ba2ZnBi
1.0
0.000 4.203 4.203
4.203 0.000 4.203
4.203 4.203 0.000
Zn Ba Bi
1 2 1
Cartesian
2.101 2.101 2.101
6.304 6.304 6.304
0.000 0.000 0.000
4.203 4.203 4.203
```

Values from the calculation:
Total energy: -0.0911 hartree per atom

---

Compound: BaZrBi
Source: OQMD via LeMat-Bulk
Functional: PBE
Structure: optimized geometry

Structure (POSCAR):
```
BaZrBi
1.0
0.000 3.856 3.856
3.856 0.000 3.856
3.856 3.856 0.000
Zr Ba Bi
1 1 1
Cartesian
5.784 5.784 5.784
1.928 1.928 1.928
0.000 0.000 0.000
```

Values from the calculation:
Magnetization: 2.52 μB per formula unit
Total energy: -0.1731 hartree per atom

---

Compound: BaZrBi2
Source: OQMD via LeMat-Bulk
Functional: PBE
Structure: optimized geometry

Structure (POSCAR):
```
BaZrBi2
1.0
-1.008 -5.041 2.160
0.301 -0.783 5.513
-4.649 -0.892 2.948
Zr Bi Ba
1 2 1
Cartesian
-4.017 -5.037 7.965
0.000 0.000 0.000
-1.339 -1.679 2.655
-2.678 -3.358 5.310
```

Values from the calculation:
Magnetization: 0.01 μB per formula unit
Total energy: -0.1647 hartree per atom

---

Compound: Ba2Cd3Br2O4
Source: OQMD via LeMat-Bulk
Functional: PBE
Structure: optimized geometry

Structure (POSCAR):
```
Ba2Cd3Br2O4
1.0
7.371 -2.354 1.044
3.890 4.897 4.675
-6.882 -3.631 0.653
O Cd Ba Br
4 3 2 2
Cartesian
5.028 0.134 4.552
6.470 -0.476 1.984
-0.648 -1.222 1.820
4.792 3.018 3.734
0.000 0.000 0.000
-1.496 0.633 2.664
0.245 -2.993 0.848
4.066 0.918 2.065
7.196 1.624 3.654
3.060 -2.357 2.278
1.320 1.269 4.094
```

Values from the calculation:
Total energy: -0.1568 hartree per atom